1.
A PBEsol-optimized structure of Sr2CaAg, computed with SCAN.

Values from the calculation:
DOS at the Fermi energy ... 3.7 states/eV per cell
Relative energy among the computed polymorphs ... 5 meV per atom
Final energy ... -21.527 eV per atom
ΔE_f ... -132 meV per atom

```
data_Sr2CaAg
_chemical_formula_sum 'Sr2 Ca1 Ag1'
_symmetry_space_group_name_H-M 'P 1'
_symmetry_Int_Tables_number 1
_symmetry_space_group_name_Hall 'P 1'
_cell_length_a 3.8863
_cell_length_b 3.8862
_cell_length_c 9.7743
_cell_angle_alpha 90.00
_cell_angle_beta 90.00
_cell_angle_gamma 90.09
loop_
_atom_site_label
_atom_site_fract_x
_atom_site_fract_y
_atom_site_fract_z
Sr1 0.0000 0.0000 0.3090
Sr2 0.0000 0.0000 0.6910
Ca1 0.5000 0.5000 0.0000
Ag1 0.5000 0.5000 0.5000
```

---

2.
A PBEsol-optimized structure of SrCa2Ag2, computed with SCAN.

Values from the calculation:
DOS at the Fermi energy ... 3.4 states/eV per cell
Relative energy among the computed polymorphs ... 197 meV per atom
Final energy ... -20.932 eV per atom
ΔE_f ... -65 meV per atom

```
data_SrCa2Ag2
_chemical_formula_sum 'Sr1 Ca2 Ag2'
_symmetry_space_group_name_H-M 'P 1'
_symmetry_Int_Tables_number 1
_symmetry_space_group_name_Hall 'P 1'
_cell_length_a 5.4217
_cell_length_b 5.4217
_cell_length_c 6.7390
_cell_angle_alpha 113.72
_cell_angle_beta 113.72
_cell_angle_gamma 90.00
loop_
_atom_site_label
_atom_site_fract_x
_atom_site_fract_y
_atom_site_fract_z
Sr1 0.0000 0.0000 0.0000
Ca1 0.3438 0.3438 0.6876
Ca2 0.6562 0.6562 0.3124
Ag1 0.2500 0.7500 0.5000
Ag2 0.7500 0.2500 0.5000
```

---

3.
A PBEsol-optimized structure of SrCa2Ag2, computed with SCAN.

Values from the calculation:
DOS at the Fermi energy ... 2.8 states/eV per cell
Relative energy among the computed polymorphs ... 44 meV per atom
Final energy ... -21.085 eV per atom
ΔE_f ... -218 meV per atom

```
data_SrCa2Ag2
_chemical_formula_sum 'Sr1 Ca2 Ag2'
_symmetry_space_group_name_H-M 'P 1'
_symmetry_Int_Tables_number 1
_symmetry_space_group_name_Hall 'P 1'
_cell_length_a 4.7958
_cell_length_b 4.7958
_cell_length_c 7.4128
_cell_angle_alpha 108.87
_cell_angle_beta 108.87
_cell_angle_gamma 90.00
loop_
_atom_site_label
_atom_site_fract_x
_atom_site_fract_y
_atom_site_fract_z
Sr1 0.0000 0.0000 0.0000
Ca1 0.2500 0.7500 0.5000
Ca2 0.7500 0.2500 0.5000
Ag1 0.3971 0.3971 0.7941
Ag2 0.6029 0.6029 0.2059
```

---

4.
A PBEsol-optimized structure of Sr2CaAg, computed with SCAN.

Values from the calculation:
DOS at the Fermi energy ... 2.9 states/eV per cell
Relative energy among the computed polymorphs ... 0 meV per atom
Final energy ... -21.532 eV per atom
ΔE_f ... -137 meV per atom

```
data_Sr2CaAg
_chemical_formula_sum 'Sr2 Ca1 Ag1'
_symmetry_space_group_name_H-M 'P 1'
_symmetry_Int_Tables_number 1
_symmetry_space_group_name_Hall 'P 1'
_cell_length_a 3.8644
_cell_length_b 3.8645
_cell_length_c 9.8533
_cell_angle_alpha 90.00
_cell_angle_beta 90.00
_cell_angle_gamma 90.03
loop_
_atom_site_label
_atom_site_fract_x
_atom_site_fract_y
_atom_site_fract_z
Sr1 0.0000 0.0000 0.0145
Sr2 0.5000 0.5000 0.6820
Ca1 0.5000 0.5000 0.3195
Ag1 0.0000 0.0000 0.4841
```

---

5.
A PBEsol-optimized structure of Sr2CaAg, computed with SCAN.

Values from the calculation:
DOS at the Fermi energy ... 3.8 states/eV per cell
Relative energy among the computed polymorphs ... 32 meV per atom
Final energy ... -21.500 eV per atom
ΔE_f ... -105 meV per atom

```
data_Sr2CaAg
_chemical_formula_sum 'Sr2 Ca1 Ag1'
_symmetry_space_group_name_H-M 'P 1'
_symmetry_Int_Tables_number 1
_symmetry_space_group_name_Hall 'P 1'
_cell_length_a 3.9328
_cell_length_b 6.0011
_cell_length_c 7.2269
_cell_angle_alpha 114.53
_cell_angle_beta 105.79
_cell_angle_gamma 90.00
loop_
_atom_site_label
_atom_site_fract_x
_atom_site_fract_y
_atom_site_fract_z
Sr1 0.9988 0.4988 0.9976
Sr2 0.8043 0.8043 0.6085
Ca1 0.1906 0.1906 0.3812
Ag1 0.5064 0.0064 0.0127
```

---

6.
A PBEsol-optimized structure of Sr2CaAg, computed with SCAN.

Values from the calculation:
DOS at the Fermi energy ... 2.4 states/eV per cell
Relative energy among the computed polymorphs ... 34 meV per atom
Final energy ... -21.499 eV per atom
ΔE_f ... -103 meV per atom

```
data_Sr2CaAg
_chemical_formula_sum 'Sr2 Ca1 Ag1'
_symmetry_space_group_name_H-M 'P 1'
_symmetry_Int_Tables_number 1
_symmetry_space_group_name_Hall 'P 1'
_cell_length_a 4.2238
_cell_length_b 4.5787
_cell_length_c 8.4435
_cell_angle_alpha 105.73
_cell_angle_beta 90.00
_cell_angle_gamma 90.00
loop_
_atom_site_label
_atom_site_fract_x
_atom_site_fract_y
_atom_site_fract_z
Sr1 0.0000 0.0528 0.1055
Sr2 0.5000 0.3937 0.7874
Ca1 0.5000 0.7056 0.4112
Ag1 0.0000 0.8459 0.6919
```

---

7.
A PBEsol-optimized structure of CaTa2Ag, computed with SCAN.

Values from the calculation:
DOS at the Fermi energy ... 3.3 states/eV per cell
Relative energy among the computed polymorphs ... 0 meV per atom
Final energy ... -42.997 eV per atom
ΔE_f ... 552 meV per atom

```
data_CaTa2Ag
_chemical_formula_sum 'Ca1 Ta2 Ag1'
_symmetry_space_group_name_H-M 'P 1'
_symmetry_Int_Tables_number 1
_symmetry_space_group_name_Hall 'P 1'
_cell_length_a 2.8656
_cell_length_b 5.1319
_cell_length_c 6.0303
_cell_angle_alpha 113.01
_cell_angle_beta 100.12
_cell_angle_gamma 98.37
loop_
_atom_site_label
_atom_site_fract_x
_atom_site_fract_y
_atom_site_fract_z
Ca1 0.5000 0.0000 0.0000
Ag1 0.0000 0.5000 0.0000
Ta1 0.5000 0.5000 0.5000
Ta2 0.0000 0.0000 0.5000
```

---

8.
A PBEsol-optimized structure of CaTa2Ag, computed with SCAN.

Values from the calculation:
DOS at the Fermi energy ... 4.3 states/eV per cell
Relative energy among the computed polymorphs ... 129 meV per atom
Final energy ... -42.867 eV per atom
ΔE_f ... 682 meV per atom

```
data_CaTa2Ag
_chemical_formula_sum 'Ca1 Ta2 Ag1'
_symmetry_space_group_name_H-M 'P 1'
_symmetry_Int_Tables_number 1
_symmetry_space_group_name_Hall 'P 1'
_cell_length_a 2.8297
_cell_length_b 2.8297
_cell_length_c 9.7366
_cell_angle_alpha 90.00
_cell_angle_beta 90.00
_cell_angle_gamma 90.00
loop_
_atom_site_label
_atom_site_fract_x
_atom_site_fract_y
_atom_site_fract_z
Ca1 0.5000 0.5000 0.5000
Ag1 0.5000 0.5000 0.0000
Ta1 0.0000 0.0000 0.7813
Ta2 0.0000 0.0000 0.2187
```

---

9.
A PBEsol-optimized structure of Ca4TaAg, computed with SCAN.

Values from the calculation:
DOS at the Fermi energy ... 5.1 states/eV per cell
Final energy ... -21.746 eV per atom
ΔE_f ... 1021 meV per atom

```
data_Ca4TaAg
_chemical_formula_sum 'Ca4 Ta1 Ag1'
_symmetry_space_group_name_H-M 'P 1'
_symmetry_Int_Tables_number 1
_symmetry_space_group_name_Hall 'P 1'
_cell_length_a 6.2477
_cell_length_b 6.2477
_cell_length_c 6.2477
_cell_angle_alpha 60.00
_cell_angle_beta 60.00
_cell_angle_gamma 60.00
loop_
_atom_site_label
_atom_site_fract_x
_atom_site_fract_y
_atom_site_fract_z
Ag1 0.0000 0.0000 0.0000
Ca1 0.3753 0.3753 0.3753
Ca2 0.3753 0.3753 0.8740
Ca3 0.8740 0.3753 0.3753
Ca4 0.3753 0.8740 0.3753
Ta1 0.7500 0.7500 0.7500
```

---

10.
A PBEsol-optimized structure of CaTa2TcAg, computed with SCAN.

Values from the calculation:
DOS at the Fermi energy ... 5.0 states/eV per cell
Final energy ... -39.892 eV per atom
ΔE_f ... 1960 meV per atom

```
data_CaTa2TcAg
_chemical_formula_sum 'Ca1 Ta2 Tc1 Ag1'
_symmetry_space_group_name_H-M 'P 1'
_symmetry_Int_Tables_number 1
_symmetry_space_group_name_Hall 'P 1'
_cell_length_a 4.8804
_cell_length_b 4.8804
_cell_length_c 4.9522
_cell_angle_alpha 90.00
_cell_angle_beta 90.00
_cell_angle_gamma 90.00
loop_
_atom_site_label
_atom_site_fract_x
_atom_site_fract_y
_atom_site_fract_z
Ca1 0.0000 0.0000 0.5000
Tc1 0.5000 0.5000 0.5000
Ag1 0.0000 0.0000 0.0000
Ta1 0.0000 0.5000 0.0000
Ta2 0.5000 0.0000 0.0000
```

---

11.
A PBEsol-optimized structure of CaTc2Ag, computed with SCAN.

Values from the calculation:
DOS at the Fermi energy ... 3.3 states/eV per cell
Relative energy among the computed polymorphs ... 214 meV per atom
Final energy ... -27.137 eV per atom
ΔE_f ... 651 meV per atom

```
data_CaTc2Ag
_chemical_formula_sum 'Ca1 Tc2 Ag1'
_symmetry_space_group_name_H-M 'P 1'
_symmetry_Int_Tables_number 1
_symmetry_space_group_name_Hall 'P 1'
_cell_length_a 3.7792
_cell_length_b 3.7792
_cell_length_c 5.5005
_cell_angle_alpha 110.09
_cell_angle_beta 110.09
_cell_angle_gamma 90.00
loop_
_atom_site_label
_atom_site_fract_x
_atom_site_fract_y
_atom_site_fract_z
Ca1 0.0000 0.0000 0.0000
Tc1 0.7500 0.2500 0.5000
Tc2 0.2500 0.7500 0.5000
Ag1 0.5000 0.5000 0.0000
```

---

12.
A PBEsol-optimized structure of CaTc2Ag, computed with SCAN.

Values from the calculation:
DOS at the Fermi energy ... 4.4 states/eV per cell
Relative energy among the computed polymorphs ... 630 meV per atom
Final energy ... -26.720 eV per atom
ΔE_f ... 1068 meV per atom

```
data_CaTc2Ag
_chemical_formula_sum 'Ca1 Tc2 Ag1'
_symmetry_space_group_name_H-M 'P 1'
_symmetry_Int_Tables_number 1
_symmetry_space_group_name_Hall 'P 1'
_cell_length_a 4.5760
_cell_length_b 4.5760
_cell_length_c 4.5760
_cell_angle_alpha 60.00
_cell_angle_beta 60.00
_cell_angle_gamma 60.00
loop_
_atom_site_label
_atom_site_fract_x
_atom_site_fract_y
_atom_site_fract_z
Ca1 0.5000 0.5000 0.5000
Tc1 0.2500 0.2500 0.2500
Tc2 0.7500 0.7500 0.7500
Ag1 0.0000 0.0000 0.0000
```

---

13.
A PBEsol-optimized structure of CaTcAg2, computed with SCAN.

Values from the calculation:
DOS at the Fermi energy ... 2.9 states/eV per cell
Relative energy among the computed polymorphs ... 6 meV per atom
Final energy ... -26.436 eV per atom
ΔE_f ... 428 meV per atom

```
data_CaTcAg2
_chemical_formula_sum 'Ca1 Tc1 Ag2'
_symmetry_space_group_name_H-M 'P 1'
_symmetry_Int_Tables_number 1
_symmetry_space_group_name_Hall 'P 1'
_cell_length_a 2.7538
_cell_length_b 4.2807
_cell_length_c 6.0905
_cell_angle_alpha 90.00
_cell_angle_beta 90.07
_cell_angle_gamma 90.00
loop_
_atom_site_label
_atom_site_fract_x
_atom_site_fract_y
_atom_site_fract_z
Ca1 0.5000 0.5000 0.0000
Tc1 0.5000 0.5000 0.5000
Ag1 0.0007 0.0000 0.7194
Ag2 0.9993 0.0000 0.2806
```

---

14.
A PBEsol-optimized structure of CaTc2Ag, computed with SCAN.

Values from the calculation:
DOS at the Fermi energy ... 3.0 states/eV per cell
Relative energy among the computed polymorphs ... 149 meV per atom
Final energy ... -27.201 eV per atom
ΔE_f ... 586 meV per atom

```
data_CaTc2Ag
_chemical_formula_sum 'Ca1 Tc2 Ag1'
_symmetry_space_group_name_H-M 'P 1'
_symmetry_Int_Tables_number 1
_symmetry_space_group_name_Hall 'P 1'
_cell_length_a 3.7829
_cell_length_b 3.7829
_cell_length_c 4.7299
_cell_angle_alpha 90.00
_cell_angle_beta 90.00
_cell_angle_gamma 90.00
loop_
_atom_site_label
_atom_site_fract_x
_atom_site_fract_y
_atom_site_fract_z
Ca1 0.0000 0.0000 0.5000
Tc1 0.0000 0.5000 0.0000
Tc2 0.5000 0.0000 0.0000
Ag1 0.5000 0.5000 0.5000
```

---

15.
A PBEsol-optimized structure of CaTcAg2, computed with SCAN.

Values from the calculation:
DOS at the Fermi energy ... 2.9 states/eV per cell
Relative energy among the computed polymorphs ... 0 meV per atom
Final energy ... -26.442 eV per atom
ΔE_f ... 422 meV per atom

```
data_CaTcAg2
_chemical_formula_sum 'Ca1 Tc1 Ag2'
_symmetry_space_group_name_H-M 'P 1'
_symmetry_Int_Tables_number 1
_symmetry_space_group_name_Hall 'P 1'
_cell_length_a 2.7947
_cell_length_b 2.7947
_cell_length_c 9.0096
_cell_angle_alpha 90.00
_cell_angle_beta 90.00
_cell_angle_gamma 90.00
loop_
_atom_site_label
_atom_site_fract_x
_atom_site_fract_y
_atom_site_fract_z
Ca1 0.0000 0.0000 0.5068
Tc1 0.5000 0.5000 0.7674
Ag1 0.0000 0.0000 0.9946
Ag2 0.5000 0.5000 0.2312
```

---

16.
A PBEsol-optimized structure of CaTcAg2, computed with SCAN.

Values from the calculation:
DOS at the Fermi energy ... 1.6 states/eV per cell
Relative energy among the computed polymorphs ... 28 meV per atom
Final energy ... -26.414 eV per atom
ΔE_f ... 450 meV per atom

```
data_CaTcAg2
_chemical_formula_sum 'Ca1 Tc1 Ag2'
_symmetry_space_group_name_H-M 'P 1'
_symmetry_Int_Tables_number 1
_symmetry_space_group_name_Hall 'P 1'
_cell_length_a 3.3865
_cell_length_b 3.3865
_cell_length_c 6.5746
_cell_angle_alpha 90.00
_cell_angle_beta 90.00
_cell_angle_gamma 90.00
loop_
_atom_site_label
_atom_site_fract_x
_atom_site_fract_y
_atom_site_fract_z
Ca1 0.0000 0.0000 0.5044
Tc1 0.5000 0.5000 0.7833
Ag1 0.0000 0.0000 0.9966
Ag2 0.5000 0.5000 0.2158
```

---

17.
A PBEsol-optimized structure of CaTc2Ag, computed with SCAN.

Values from the calculation:
DOS at the Fermi energy ... 2.3 states/eV per cell
Relative energy among the computed polymorphs ... 227 meV per atom
Final energy ... -27.123 eV per atom
ΔE_f ... 664 meV per atom

```
data_CaTc2Ag
_chemical_formula_sum 'Ca1 Tc2 Ag1'
_symmetry_space_group_name_H-M 'P 1'
_symmetry_Int_Tables_number 1
_symmetry_space_group_name_Hall 'P 1'
_cell_length_a 2.6414
_cell_length_b 2.6414
_cell_length_c 9.4458
_cell_angle_alpha 90.00
_cell_angle_beta 90.00
_cell_angle_gamma 90.00
loop_
_atom_site_label
_atom_site_fract_x
_atom_site_fract_y
_atom_site_fract_z
Ca1 0.5000 0.5000 0.5000
Tc1 0.0000 0.0000 0.7658
Tc2 0.0000 0.0000 0.2342
Ag1 0.5000 0.5000 0.0000
```

---

18.
A PBEsol-optimized structure of Ca2TcAg, computed with SCAN.

Values from the calculation:
DOS at the Fermi energy ... 3.9 states/eV per cell
Relative energy among the computed polymorphs ... 108 meV per atom
Final energy ... -20.908 eV per atom
ΔE_f ... 531 meV per atom

```
data_Ca2TcAg
_chemical_formula_sum 'Ca2 Tc1 Ag1'
_symmetry_space_group_name_H-M 'P 1'
_symmetry_Int_Tables_number 1
_symmetry_space_group_name_Hall 'P 1'
_cell_length_a 4.9247
_cell_length_b 4.9247
_cell_length_c 4.9247
_cell_angle_alpha 60.00
_cell_angle_beta 60.00
_cell_angle_gamma 60.00
loop_
_atom_site_label
_atom_site_fract_x
_atom_site_fract_y
_atom_site_fract_z
Ca1 0.0000 0.0000 0.0000
Ca2 0.7500 0.7500 0.7500
Tc1 0.2500 0.2500 0.2500
Ag1 0.5000 0.5000 0.5000
```

---

19.
A PBEsol-optimized structure of Ca2TcAg, computed with SCAN.

Values from the calculation:
DOS at the Fermi energy ... 3.5 states/eV per cell
Relative energy among the computed polymorphs ... 0 meV per atom
Final energy ... -21.016 eV per atom
ΔE_f ... 422 meV per atom

```
data_Ca2TcAg
_chemical_formula_sum 'Ca2 Tc1 Ag1'
_symmetry_space_group_name_H-M 'P 1'
_symmetry_Int_Tables_number 1
_symmetry_space_group_name_Hall 'P 1'
_cell_length_a 3.0919
_cell_length_b 5.1408
_cell_length_c 6.2840
_cell_angle_alpha 114.14
_cell_angle_beta 104.24
_cell_angle_gamma 90.00
loop_
_atom_site_label
_atom_site_fract_x
_atom_site_fract_y
_atom_site_fract_z
Ca1 0.9794 0.9794 0.9587
Ca2 0.7782 0.2782 0.5565
Tc1 0.5209 0.5209 0.0418
Ag1 0.2215 0.7215 0.4430
```

---

20.
A PBEsol-optimized structure of CaTcAg, computed with SCAN.

Values from the calculation:
DOS at the Fermi energy ... 1.8 states/eV per cell
Final energy ... -24.628 eV per atom
ΔE_f ... 736 meV per atom

```
data_CaTcAg
_chemical_formula_sum 'Ca1 Tc1 Ag1'
_symmetry_space_group_name_H-M 'P 1'
_symmetry_Int_Tables_number 1
_symmetry_space_group_name_Hall 'P 1'
_cell_length_a 2.8947
_cell_length_b 2.8947
_cell_length_c 7.4290
_cell_angle_alpha 90.00
_cell_angle_beta 90.00
_cell_angle_gamma 120.00
loop_
_atom_site_label
_atom_site_fract_x
_atom_site_fract_y
_atom_site_fract_z
Ca1 0.3333 0.6667 0.6589
Tc1 0.6667 0.3333 0.3268
Ag1 0.0000 0.0000 0.0143
```